! CsCdS2, single point on PBEsol structure, DFT SCAN; values from VASP
&SYSTEM
  ibrav = 0, nat = 4, ntyp = 3
/
ATOMIC_SPECIES
Cs 132.91 Cs.upf
S 32.06 S.upf
Cd 112.41 Cd.upf
CELL_PARAMETERS angstrom
5.3234 0.0000 0.0000
2.6617 4.6102 0.0000
2.6617 1.5367 7.7381
ATOMIC_POSITIONS crystal
Cs 0.5000 0.5000 0.5000
S 0.9015 0.9015 0.2954
S 0.0985 0.0985 0.7046
Cd 0.0000 0.0000 0.0000
! SG = R-3m, No. 166
! total magnetization = 0.251 μB/atom
! formation energy (no corrections) = -0.37 eV per atom

! CsCd2Sb2, single point on PBEsol structure, DFT SCAN; values from VASP
&SYSTEM
  ibrav = 0, nat = 5, ntyp = 3
/
ATOMIC_SPECIES
Cs 132.91 Cs.upf
Sb 121.76 Sb.upf
Cd 112.41 Cd.upf
CELL_PARAMETERS angstrom
-4.0661 2.3107 1.5416
-0.1028 -2.8563 4.0100
5.6142 4.4421 0.2845
ATOMIC_POSITIONS crystal
Cs 0.0000 0.0000 0.0000
Sb 0.2500 0.7500 0.5000
Sb 0.7500 0.2500 0.5000
Cd 0.3897 0.3897 0.7794
Cd 0.6103 0.6103 0.2206
! SG = I4/mmm, No. 139
! total magnetization = 0.000 μB/atom
! formation energy (no corrections) = -0.25 eV per atom

! Cs2CdSb, single point on PBEsol structure, DFT SCAN; values from VASP
&SYSTEM
  ibrav = 0, nat = 4, ntyp = 3
/
ATOMIC_SPECIES
Cs 132.91 Cs.upf
Sb 121.76 Sb.upf
Cd 112.41 Cd.upf
CELL_PARAMETERS angstrom
6.2477 0.0000 0.0000
3.1238 5.4106 0.0000
3.1238 1.8035 5.1012
ATOMIC_POSITIONS crystal
Cs 0.2500 0.2500 0.2500
Cs 0.7500 0.7500 0.7500
Sb 0.5000 0.5000 0.5000
Cd 0.0000 0.0000 0.0000
! SG = Fm-3m, No. 225
! total magnetization = 0.251 μB/atom
! formation energy (no corrections) = -0.14 eV per atom

! CsCd2TcSb, single point on PBEsol structure, DFT SCAN; values from VASP
&SYSTEM
  ibrav = 0, nat = 5, ntyp = 4
/
ATOMIC_SPECIES
Cs 132.91 Cs.upf
Sb 121.76 Sb.upf
Tc 98.00 Tc.upf
Cd 112.41 Cd.upf
CELL_PARAMETERS angstrom
-2.1488 -1.9895 4.0805
4.4806 0.9533 2.8243
-1.8932 4.8485 1.3670
ATOMIC_POSITIONS crystal
Cs 0.5000 0.5000 0.5000
Sb 0.5000 0.0000 0.0000
Tc 0.0000 0.0000 0.0000
Cd 0.0000 0.0000 0.5000
Cd 0.0000 0.5000 0.0000
! SG = P4/mmm, No. 123
! total magnetization = 0.000 μB/atom
! formation energy (no corrections) = 0.05 eV per atom

! CsCdSe, single point on PBEsol structure, DFT SCAN; values from VASP
&SYSTEM
  ibrav = 0, nat = 6, ntyp = 3
/
ATOMIC_SPECIES
Cs 132.91 Cs.upf
Se 78.96 Se.upf
Cd 112.41 Cd.upf
CELL_PARAMETERS angstrom
-3.5524 1.7489 -1.8806
-4.6759 0.4642 4.1556
-0.0340 7.4997 1.9300
ATOMIC_POSITIONS crystal
Cs 0.0708 0.7162 0.1421
Cs 0.9292 0.2838 0.8579
Se 0.2999 0.1236 0.2765
Se 0.7001 0.8764 0.7235
Cd 0.6345 0.2755 0.4556
Cd 0.3655 0.7245 0.5444
! SG = C2/m, No. 12
! total magnetization = 0.000 μB/atom
! formation energy (no corrections) = -0.94 eV per atom

! CsYCdSe3, single point on PBEsol structure, DFT SCAN; values from VASP
&SYSTEM
  ibrav = 0, nat = 12, ntyp = 4
/
ATOMIC_SPECIES
Cs 132.91 Cs.upf
Y 88.91 Y.upf
Se 78.96 Se.upf
Cd 112.41 Cd.upf
CELL_PARAMETERS angstrom
4.2118 0.0000 0.0000
-2.1059 7.9162 0.0000
0.0000 0.0000 10.9698
ATOMIC_POSITIONS crystal
Cs 0.2551 0.5102 0.7500
Cs 0.7449 0.4898 0.2500
Y 0.0000 0.0000 0.5000
Y 0.0000 0.0000 0.0000
Se 0.9377 0.8753 0.7500
Se 0.0623 0.1247 0.2500
Se 0.3796 0.7593 0.4557
Se 0.3796 0.7593 0.0443
Se 0.6204 0.2407 0.9557
Se 0.6204 0.2407 0.5443
Cd 0.5403 0.0806 0.7500
Cd 0.4597 0.9194 0.2500
! SG = Cmcm, No. 63
! total magnetization = 0.000 μB/atom
! formation energy (no corrections) = -1.58 eV per atom

! CsSmCdTe3, single point on PBEsol structure, DFT SCAN; values from VASP
&SYSTEM
  ibrav = 0, nat = 12, ntyp = 4
/
ATOMIC_SPECIES
Cs 132.91 Cs.upf
Te 127.60 Te.upf
Sm 150.36 Sm.upf
Cd 112.41 Cd.upf
CELL_PARAMETERS angstrom
-1.3042 -1.4158 -4.0653
-0.5874 -6.9744 5.1057
-11.1121 2.8253 2.5810
ATOMIC_POSITIONS crystal
Cs 0.2499 0.4997 0.7500
Cs 0.7501 0.5003 0.2500
Te 0.9324 0.8649 0.7500
Te 0.0676 0.1351 0.2500
Te 0.3741 0.7482 0.4510
Te 0.3741 0.7482 0.0490
Te 0.6259 0.2518 0.9510
Te 0.6259 0.2518 0.5490
Sm 0.0000 0.0000 0.5000
Sm 0.0000 0.0000 0.0000
Cd 0.5376 0.0752 0.7500
Cd 0.4624 0.9248 0.2500
! SG = Cmcm, No. 63
! total magnetization = 0.000 μB/atom
! formation energy (no corrections) = -1.25 eV per atom

! Cs2CdSn, single point on PBEsol structure, DFT SCAN; values from VASP
&SYSTEM
  ibrav = 0, nat = 4, ntyp = 3
/
ATOMIC_SPECIES
Cs 132.91 Cs.upf
Sn 118.71 Sn.upf
Cd 112.41 Cd.upf
CELL_PARAMETERS angstrom
-0.8634 2.6509 5.6904
-1.7306 -3.5803 4.9334
4.1124 -1.1413 4.6838
ATOMIC_POSITIONS crystal
Cs 0.2500 0.2500 0.2500
Cs 0.7500 0.7500 0.7500
Sn 0.5000 0.5000 0.5000
Cd 0.0000 0.0000 0.0000
! SG = Fm-3m, No. 225
! total magnetization = 0.503 μB/atom
! formation enthalpy at 0 K = 0.08 eV/atom

! CsCd2Sn2, single point on PBEsol structure, DFT SCAN; values from VASP
&SYSTEM
  ibrav = 0, nat = 5, ntyp = 3
/
ATOMIC_SPECIES
Cs 132.91 Cs.upf
Sn 118.71 Sn.upf
Cd 112.41 Cd.upf
CELL_PARAMETERS angstrom
4.8062 0.0000 0.0000
0.0000 4.8062 0.0000
-2.4031 -2.4031 6.4644
ATOMIC_POSITIONS crystal
Cs 0.0000 0.0000 0.0000
Sn 0.2500 0.7500 0.5000
Sn 0.7500 0.2500 0.5000
Cd 0.3904 0.3904 0.7807
Cd 0.6096 0.6096 0.2193
! SG = I4/mmm, No. 139
! total magnetization = 0.000 μB/atom
! formation enthalpy at 0 K = -0.14 eV/atom

! Cs2SrCd, single point on PBEsol structure, DFT SCAN; values from VASP
&SYSTEM
  ibrav = 0, nat = 4, ntyp = 3
/
ATOMIC_SPECIES
Cs 132.91 Cs.upf
Sr 87.62 Sr.upf
Cd 112.41 Cd.upf
CELL_PARAMETERS angstrom
6.9164 0.0000 0.0000
3.4582 5.9898 0.0000
3.4582 1.9966 5.6472
ATOMIC_POSITIONS crystal
Cs 0.2500 0.2500 0.2500
Cs 0.7500 0.7500 0.7500
Sr 0.0000 0.0000 0.0000
Cd 0.5000 0.5000 0.5000
! SG = Fm-3m, No. 225
! total magnetization = 0.356 μB/atom
! formation enthalpy at 0 K = 0.27 eV/atom

! CsCd3Tc, single point on PBEsol structure, DFT SCAN; values from VASP
&SYSTEM
  ibrav = 0, nat = 5, ntyp = 3
/
ATOMIC_SPECIES
Cs 132.91 Cs.upf
Tc 98.00 Tc.upf
Cd 112.41 Cd.upf
CELL_PARAMETERS angstrom
-3.6027 0.2746 3.9117
-3.9187 -0.0582 -3.6051
-0.1432 -5.3177 0.2415
ATOMIC_POSITIONS crystal
Cs 0.5000 0.5000 0.5000
Tc 0.0000 0.0000 0.0000
Cd 0.0000 0.5000 0.0000
Cd 0.0000 0.0000 0.5000
Cd 0.5000 0.0000 0.0000
! SG = Pm-3m, No. 221
! total magnetization = 0.416 μB/atom
! formation enthalpy at 0 K = 0.45 eV/atom

! Cs3CdTe, single point on PBEsol structure, DFT SCAN; values from VASP
&SYSTEM
  ibrav = 0, nat = 5, ntyp = 3
/
ATOMIC_SPECIES
Cs 132.91 Cs.upf
Te 127.60 Te.upf
Cd 112.41 Cd.upf
CELL_PARAMETERS angstrom
-2.1351 -6.7414 1.5453
5.2159 -2.6316 -4.2735
4.5419 -0.1470 5.6340
ATOMIC_POSITIONS crystal
Cs 0.0000 0.5000 0.0000
Cs 0.0000 0.0000 0.5000
Cs 0.5000 0.0000 0.0000
Te 0.0000 0.0000 0.0000
Cd 0.5000 0.5000 0.5000
! SG = Pm-3m, No. 221
! total magnetization = 0.180 μB/atom
! formation energy (no corrections) = -0.49 eV per atom

! CsTi2Cd2, single point on PBEsol structure, DFT SCAN; values from VASP
&SYSTEM
  ibrav = 0, nat = 5, ntyp = 3
/
ATOMIC_SPECIES
Cs 132.91 Cs.upf
Ti 47.87 Ti.upf
Cd 112.41 Cd.upf
CELL_PARAMETERS angstrom
-3.4085 0.7011 -1.1179
0.7189 -1.6099 -3.2016
-1.7085 -8.3905 5.9216
ATOMIC_POSITIONS crystal
Cs 0.0000 0.0000 0.0000
Ti 0.2500 0.7500 0.5000
Ti 0.7500 0.2500 0.5000
Cd 0.3637 0.3637 0.7274
Cd 0.6363 0.6363 0.2726
! SG = I4/mmm, No. 139
! total magnetization = 0.000 μB/atom
! formation enthalpy at 0 K = 0.45 eV/atom

Number 1: DOS(E_F) 4.61 states/eV per cell. Number 2: DOS(E_F) 1.73 states/eV per cell. Number 3: DOS(E_F) 3.53 states/eV per cell. Number 4: DOS(E_F) 2.12 states/eV per cell. Number 5: DOS(E_F) 0.00 states/eV per cell. Number 6: DOS(E_F) 0.00 states/eV per cell. Number 7: DOS(E_F) 0.00 states/eV per cell. Number 8: DOS(E_F) 2.85 states/eV per cell. Number 9: DOS(E_F) 2.36 states/eV per cell. Number 10: DOS(E_F) 4.57 states/eV per cell. Number 11: DOS(E_F) 3.70 states/eV per cell. Number 12: DOS(E_F) 3.41 states/eV per cell. Number 13: DOS(E_F) 5.76 states/eV per cell.